# 1
Here is NbIn3Pt at its PBEsol-relaxed geometry from Alexandria. Energies are from SCAN.

Cell lengths 5.2104, 5.2104, 5.2104 Å; angles 90.00, 90.00, 90.00 degrees
Positions (direct):
In 0.5000 0.0000 0.0000
In 0.0000 0.5000 0.0000
In 0.0000 0.0000 0.5000
Nb 0.0000 0.0000 0.0000
Pt 0.5000 0.5000 0.5000

Calculated values
Energy (eV/atom): -39.513

***

# 2
Here is NbInRe3 at its PBEsol-relaxed geometry from Alexandria. Energies are from SCAN.

Cell lengths 4.7326, 4.7326, 4.7326 Å; angles 90.00, 90.00, 90.00 degrees
Site moments in Bohr magnetons follow the coordinates.
Positions (direct):
Re 0.0000 0.5000 0.0000  0.61
Re 0.5000 0.0000 0.0000  0.61
Re 0.0000 0.0000 0.5000  0.61
Nb 0.0000 0.0000 0.0000  -0.07
In 0.5000 0.5000 0.5000  -0.11

Calculated values
Energy (eV/atom): -53.652

***

# 3
Here is NbInReTe2 at its PBEsol-relaxed geometry from Alexandria. Energies are from SCAN.

Cell lengths 4.9501, 5.1901, 5.1901 Å; angles 90.00, 90.00, 90.00 degrees
Site moments in Bohr magnetons follow the coordinates.
Positions (direct):
In 0.5000 0.5000 0.5000  0.02
Re 0.0000 0.0000 0.0000  -0.36
Nb 0.5000 0.0000 0.0000  1.57
Te 0.0000 0.0000 0.5000  -0.05
Te 0.0000 0.5000 0.0000  -0.05

Calculated values
Energy (eV/atom): -41.529
Uncorrected formation energy (eV/f.u.): 4.47

***

# 4
Here is Nb2InRh2 at its PBEsol-relaxed geometry from Alexandria. Energies are from SCAN.

Cell lengths 2.9475, 7.5673, 7.5673 Å; angles 90.00, 90.00, 90.00 degrees
Positions (direct):
Rh 0.0000 0.1273 0.3727
Rh 0.0000 0.8727 0.6273
Rh 0.0000 0.3727 0.8727
Rh 0.0000 0.6273 0.1273
In 0.0000 0.5000 0.5000
In 0.0000 0.0000 0.0000
Nb 0.5000 0.1665 0.6665
Nb 0.5000 0.3335 0.1665
Nb 0.5000 0.6665 0.8335
Nb 0.5000 0.8335 0.3335

Calculated values
Energy (eV/atom): -33.853

***

The highest energy belongs to which entry? Nb2InRh2